A relaxed structure of Na2Bi5AuO11, computed with PBE.

Properties
**E_tot**: -199.45 eV for the cell shown
**Uncorrected formation energy**: -1.045 eV/atom

Cell lengths 12.491, 12.491, 3.919 Å; angles 90.00, 90.00, 90.00 degrees
Positions (direct):
Na 0.205 0.295 0.000
Na 0.295 0.795 0.000
Na 0.705 0.205 0.000
Na 0.795 0.705 0.000
Bi 0.000 0.500 0.000
Bi 0.049 0.769 0.500
Bi 0.231 0.049 0.500
Bi 0.269 0.549 0.500
Bi 0.451 0.269 0.500
Bi 0.500 0.000 0.000
Bi 0.549 0.731 0.500
Bi 0.731 0.451 0.500
Bi 0.769 0.951 0.500
Bi 0.951 0.231 0.500
Au 0.000 0.000 0.000
Au 0.500 0.500 0.000
O 0.000 0.500 0.500
O 0.003 0.329 0.000
O 0.108 0.877 0.000
O 0.123 0.108 0.000
O 0.171 0.497 0.000
O 0.212 0.712 0.500
O 0.288 0.212 0.500
O 0.329 0.997 0.000
O 0.377 0.608 0.000
O 0.392 0.377 0.000
O 0.497 0.829 0.000
O 0.500 0.000 0.500
O 0.503 0.171 0.000
O 0.608 0.623 0.000
O 0.623 0.392 0.000
O 0.671 0.003 0.000
O 0.712 0.788 0.500
O 0.788 0.288 0.500
O 0.829 0.503 0.000
O 0.877 0.892 0.000
O 0.892 0.123 0.000
O 0.997 0.671 0.000



A relaxed structure of CaEuGdLu, computed with PBE.

Properties
**E_tot**: -121.19 eV for the cell shown
**DFT formation energy**: 0.6 eV/f.u.

Cell lengths 8.255, 8.255, 8.255 Å; angles 90.00, 90.00, 90.00 degrees
Positions (direct):
Ca 0.000 0.000 0.000
Ca 0.000 0.500 0.500
Ca 0.500 0.000 0.500
Ca 0.500 0.500 0.000
Eu 0.250 0.250 0.250
Eu 0.250 0.750 0.750
Eu 0.750 0.250 0.750
Eu 0.750 0.750 0.250
Gd 0.250 0.250 0.750
Gd 0.250 0.750 0.250
Gd 0.750 0.250 0.250
Gd 0.750 0.750 0.750
Lu 0.000 0.000 0.500
Lu 0.000 0.500 0.000
Lu 0.500 0.000 0.000
Lu 0.500 0.500 0.500



A relaxed structure of LaGaRhN, computed with PBE.

Properties
**E_tot**: -54.47 eV for the cell shown
**Uncorrected formation energy**: -0.901 eV/atom

Cell lengths 3.997, 3.997, 8.859 Å; angles 90.00, 90.00, 90.00 degrees
Positions (direct):
La 0.250 0.250 0.146
La 0.750 0.750 0.854
Ga 0.250 0.250 0.663
Ga 0.750 0.750 0.337
Rh 0.250 0.750 0.500
Rh 0.750 0.250 0.500
N 0.250 0.250 0.883
N 0.750 0.750 0.117



A relaxed structure of LaTlHgGe, computed with PBE.

Properties
**E_tot**: -53.61 eV for the cell shown
**DFT formation energy**: -1.2 eV/f.u.

Cell lengths 7.527, 7.527, 7.527 Å; angles 90.00, 90.00, 90.00 degrees
Positions (direct):
La 0.000 0.000 0.000
La 0.000 0.500 0.500
La 0.500 0.000 0.500
La 0.500 0.500 0.000
Tl 0.000 0.000 0.500
Tl 0.000 0.500 0.000
Tl 0.500 0.000 0.000
Tl 0.500 0.500 0.500
Hg 0.250 0.250 0.250
Hg 0.250 0.750 0.750
Hg 0.750 0.250 0.750
Hg 0.750 0.750 0.250
Ge 0.250 0.250 0.750
Ge 0.250 0.750 0.250
Ge 0.750 0.250 0.250
Ge 0.750 0.750 0.750



A relaxed structure of Tb4PmSm2, computed with PBE.

Properties
**Distance to the lowest polymorph of the same formula**: 221 meV/atom
**E_tot**: -61.77 eV for the cell shown
**DFT formation energy**: 1.8 eV/f.u.

Cell lengths 4.562, 4.562, 22.697 Å; angles 90.00, 90.00, 90.00 degrees
Positions (direct):
Tb 0.000 0.000 0.139
Tb 0.000 0.000 0.861
Tb 0.000 0.500 0.250
Tb 0.000 0.500 0.750
Tb 0.500 0.000 0.250
Tb 0.500 0.000 0.750
Tb 0.500 0.500 0.361
Tb 0.500 0.500 0.639
Pm 0.000 0.000 0.000
Pm 0.500 0.500 0.500
Sm 0.000 0.000 0.403
Sm 0.000 0.000 0.597
Sm 0.500 0.500 0.097
Sm 0.500 0.500 0.903



A relaxed structure of LaHoSb, computed with PBE.

Properties
**E_tot**: -62.38 eV for the cell shown
**Uncorrected formation energy**: -0.656 eV/atom

Cell lengths 8.592, 8.592, 11.144 Å; angles 90.42, 90.42, 28.73 degrees
Positions (direct):
La 0.032 0.032 0.372
La 0.400 0.400 0.138
La 0.600 0.600 0.862
La 0.968 0.968 0.628
Ho 0.195 0.195 0.087
Ho 0.246 0.246 0.659
Ho 0.754 0.754 0.341
Ho 0.805 0.805 0.913
Sb 0.375 0.375 0.440
Sb 0.413 0.413 0.822
Sb 0.587 0.587 0.178
Sb 0.625 0.625 0.560



A relaxed structure of CsZr2As, computed with PBE.

Properties
**E_tot**: -82.89 eV for the cell shown
**DFT formation energy**: 1.9 eV/f.u.

Cell lengths 5.448, 5.448, 19.423 Å; angles 90.00, 90.00, 90.00 degrees
Positions (direct):
Cs 0.000 0.250 0.375
Cs 0.000 0.750 0.625
Cs 0.500 0.250 0.125
Cs 0.500 0.750 0.875
Zr 0.000 0.000 0.000
Zr 0.000 0.500 0.000
Zr 0.250 0.250 0.750
Zr 0.250 0.750 0.250
Zr 0.500 0.000 0.500
Zr 0.500 0.500 0.500
Zr 0.750 0.250 0.750
Zr 0.750 0.750 0.250
As 0.000 0.250 0.875
As 0.000 0.750 0.125
As 0.500 0.250 0.625
As 0.500 0.750 0.375



A relaxed structure of MnFe14Os, computed with PBE.

Properties
**E_tot**: -138.23 eV for the cell shown
**DFT formation energy**: 0.7 eV/f.u.

Cell lengths 4.950, 4.950, 8.078 Å; angles 90.00, 90.00, 109.89 degrees
Positions (direct):
Mn 0.000 0.000 0.000
Fe 0.000 0.000 0.500
Fe 0.000 0.500 0.000
Fe 0.000 0.500 0.500
Fe 0.246 0.246 0.253
Fe 0.246 0.246 0.747
Fe 0.250 0.750 0.252
Fe 0.250 0.750 0.748
Fe 0.500 0.000 0.000
Fe 0.500 0.000 0.500
Fe 0.500 0.500 0.500
Fe 0.750 0.250 0.252
Fe 0.750 0.250 0.748
Fe 0.754 0.754 0.253
Fe 0.754 0.754 0.747
Os 0.500 0.500 0.000



A relaxed structure of MnMoRh2, computed with PBE.

Properties
**Distance to the lowest polymorph of the same formula**: 116 meV/atom
**E_tot**: -69.76 eV for the cell shown
**DFT formation energy**: -0.2 eV/f.u.

Cell lengths 9.015, 2.727, 4.700 Å; angles 90.00, 99.97, 90.00 degrees
Positions (direct):
Mn 0.000 0.000 0.000
Mn 0.500 0.500 0.000
Mo 0.000 0.500 0.500
Mo 0.500 0.000 0.500
Rh 0.248 0.500 0.247
Rh 0.252 0.000 0.753
Rh 0.748 0.000 0.247
Rh 0.752 0.500 0.753



A relaxed structure of Y2Er5Tm12, computed with PBE.

Properties
**Distance to the lowest polymorph of the same formula**: 0 meV/atom
**E_tot**: -86.95 eV for the cell shown
**DFT formation energy**: 2.4 eV/f.u.

Cell lengths 5.953, 9.517, 11.149 Å; angles 70.31, 81.89, 88.56 degrees
Positions (direct):
Y 0.216 0.431 0.082
Y 0.784 0.569 0.918
Er 0.016 0.449 0.670
Er 0.398 0.041 0.157
Er 0.500 0.000 0.500
Er 0.602 0.959 0.843
Er 0.984 0.551 0.330
Tm 0.069 0.820 0.013
Tm 0.076 0.183 0.399
Tm 0.117 0.090 0.714
Tm 0.338 0.683 0.767
Tm 0.416 0.689 0.450
Tm 0.465 0.310 0.846
Tm 0.535 0.690 0.154
Tm 0.584 0.311 0.550
Tm 0.662 0.317 0.233
Tm 0.883 0.910 0.286
Tm 0.924 0.817 0.601
Tm 0.931 0.180 0.987



A relaxed structure of MgMn2Ir, computed with PBE.

Properties
**E_tot**: -28.33 eV for the cell shown
**DFT formation energy**: 0.5 eV/f.u.

Cell lengths 2.812, 2.812, 7.750 Å; angles 90.00, 90.00, 90.00 degrees
Positions (direct):
Mg 0.000 0.000 0.000
Mn 0.500 0.500 0.277
Mn 0.500 0.500 0.723
Ir 0.000 0.000 0.500



A relaxed structure of Dy2Pb2O, computed with PBE.

Properties
**E_tot**: -56.04 eV for the cell shown
**Uncorrected formation energy**: -1.288 eV/atom

Cell lengths 8.419, 8.419, 8.430 Å; angles 90.00, 90.00, 154.68 degrees
Positions (direct):
Dy 0.039 0.961 0.500
Dy 0.372 0.628 0.324
Dy 0.628 0.372 0.824
Dy 0.961 0.039 0.000
Pb 0.275 0.725 0.990
Pb 0.391 0.609 0.691
Pb 0.609 0.391 0.191
Pb 0.725 0.275 0.490
O 0.063 0.937 0.767
O 0.937 0.063 0.267



A relaxed structure of SnB2HCl, computed with PBE.

Properties
**E_tot**: -16.02 eV for the cell shown

Cell lengths 4.678, 4.678, 3.771 Å; angles 90.00, 90.00, 90.00 degrees
Positions (direct):
Sn 0.000 0.000 0.000
B 0.000 0.500 0.000
B 0.500 0.000 0.000
H 0.000 0.000 0.500
Cl 0.500 0.500 0.500



A relaxed structure of Cr2GePt, computed with PBE.

Properties
**E_tot**: -113.17 eV for the cell shown
**DFT formation energy**: 1.6 eV/f.u.

Cell lengths 6.916, 6.916, 5.151 Å; angles 90.00, 90.00, 90.00 degrees
Positions (direct):
Cr 0.243 0.250 0.125
Cr 0.250 0.743 0.375
Cr 0.250 0.757 0.875
Cr 0.257 0.250 0.625
Cr 0.743 0.750 0.625
Cr 0.750 0.243 0.875
Cr 0.750 0.257 0.375
Cr 0.757 0.750 0.125
Ge 0.000 0.000 0.000
Ge 0.000 0.500 0.250
Ge 0.500 0.000 0.750
Ge 0.500 0.500 0.500
Pt 0.000 0.000 0.500
Pt 0.000 0.500 0.750
Pt 0.500 0.000 0.250
Pt 0.500 0.500 0.000



A relaxed structure of TiMnGe2, computed with PBE.

Properties
**Distance to the lowest polymorph of the same formula**: 202 meV/atom
**E_tot**: -27.18 eV for the cell shown
**DFT formation energy**: -0.9 eV/f.u.

Cell lengths 4.045, 4.045, 3.709 Å; angles 90.00, 90.00, 90.00 degrees
Positions (direct):
Ti 0.000 0.000 0.000
Mn 0.500 0.500 0.000
Ge 0.000 0.500 0.500
Ge 0.500 0.000 0.500



A relaxed structure of MgPd5, computed with PBE.

Properties
**E_tot**: -29.50 eV for the cell shown
**DFT formation energy**: -1.9 eV/f.u.

Cell lengths 5.385, 5.385, 5.385 Å; angles 53.38, 53.38, 53.38 degrees
Positions (direct):
Mg 0.000 0.000 0.000
Pd 0.168 0.832 0.500
Pd 0.332 0.332 0.332
Pd 0.500 0.168 0.832
Pd 0.668 0.668 0.668
Pd 0.832 0.500 0.168



A relaxed structure of PbSe2NF, computed with PBE.

Properties
**Distance to the lowest polymorph of the same formula**: 0 meV/atom
**E_tot**: -16.96 eV for the cell shown
**Uncorrected formation energy**: 0.783 eV/atom

Cell lengths 4.512, 4.512, 5.042 Å; angles 90.00, 90.00, 90.00 degrees
Positions (direct):
Pb 0.000 0.000 0.000
Se 0.000 0.500 0.500
Se 0.500 0.000 0.500
N 0.500 0.500 0.000
F 0.500 0.500 0.500



A relaxed structure of P2OsPt, computed with PBE.

Properties
**Distance to the lowest polymorph of the same formula**: 394 meV/atom
**E_tot**: -27.38 eV for the cell shown
**DFT formation energy**: 0.7 eV/f.u.

Cell lengths 2.944, 2.944, 6.512 Å; angles 90.00, 90.00, 90.00 degrees
Positions (direct):
P 0.000 0.000 0.232
P 0.000 0.000 0.768
Os 0.500 0.500 0.000
Pt 0.500 0.500 0.500



A relaxed structure of CeDyHo6, computed with PBE.

Properties
**Distance to the lowest polymorph of the same formula**: 181 meV/atom
**E_tot**: -36.20 eV for the cell shown
**DFT formation energy**: 1.8 eV/f.u.

Cell lengths 6.452, 6.721, 6.845 Å; angles 118.66, 102.61, 90.73 degrees
Positions (direct):
Ce 0.000 0.000 0.000
Dy 0.500 0.000 0.000
Ho 0.229 0.904 0.478
Ho 0.250 0.451 0.000
Ho 0.267 0.427 0.520
Ho 0.733 0.573 0.480
Ho 0.750 0.549 0.000
Ho 0.771 0.096 0.522



A relaxed structure of Ta2CSe, computed with PBE.

Properties
**E_tot**: -139.39 eV for the cell shown
**Uncorrected formation energy**: 0.392 eV/atom

Cell lengths 6.073, 6.073, 6.073 Å; angles 90.00, 90.00, 90.00 degrees
Positions (direct):
Ta 0.250 0.250 0.250
Ta 0.250 0.250 0.750
Ta 0.250 0.750 0.250
Ta 0.250 0.750 0.750
Ta 0.750 0.250 0.250
Ta 0.750 0.250 0.750
Ta 0.750 0.750 0.250
Ta 0.750 0.750 0.750
C 0.000 0.000 0.000
C 0.000 0.500 0.500
C 0.500 0.000 0.500
C 0.500 0.500 0.000
Se 0.000 0.000 0.500
Se 0.000 0.500 0.000
Se 0.500 0.000 0.000
Se 0.500 0.500 0.500